(1)
Here is crystalline NaRuCO5 at its relaxed geometry from the Alexandria database. Energies are from PBE-GGA.

POSCAR file:
```
NaRuCO5
1.0
3.171 -4.106 0.000
3.171 4.106 0.000
-3.149 0.000 6.286
Na Ru C O
2 2 2 10
Cartesian
0.809 2.778 4.714
2.383 -2.778 1.571
3.171 0.000 0.000
1.596 0.000 3.143
2.383 2.551 1.571
0.809 -2.551 4.714
-1.796 0.669 5.679
1.389 1.819 2.221
-0.222 -0.669 2.536
3.377 1.819 0.922
0.809 0.545 4.714
2.383 -0.545 1.571
-0.186 -1.819 5.364
3.414 0.669 3.749
1.803 -1.819 4.065
4.988 -0.669 0.606
```

## Properties
Raw formation energy   -1.09 eV/atom

---

(2)
Here is crystalline Cu3HgAu3 at its relaxed geometry from the Alexandria database. Energies are from PBE-GGA.

POSCAR file:
```
Cu3HgAu3
1.0
7.024 0.000 0.000
0.000 7.024 0.000
0.000 0.000 7.024
Cu Hg Au
6 2 6
Cartesian
0.000 1.756 3.512
0.000 5.268 3.512
1.756 3.512 0.000
3.512 0.000 1.756
3.512 0.000 5.268
5.268 3.512 0.000
0.000 0.000 0.000
3.512 3.512 3.512
0.000 3.512 1.756
0.000 3.512 5.268
1.756 0.000 3.512
3.512 1.756 0.000
3.512 5.268 0.000
5.268 0.000 3.512
```

## Properties
E_form   0.548 eV/atom

---

(3)
Here is crystalline SrTmZn17 at its relaxed geometry from the Alexandria database. Energies are from PBE-GGA.

POSCAR file:
```
SrTmZn17
1.0
4.534 2.618 4.410
-4.534 2.618 4.410
0.000 -5.236 4.410
Sr Tm Zn
1 1 17
Cartesian
0.000 0.000 0.000
0.000 0.000 8.892
-1.356 -2.309 4.458
-2.678 -0.020 4.458
-2.282 -1.318 6.854
0.000 0.000 3.196
0.000 -2.638 6.658
-2.284 1.319 6.658
1.356 -2.309 4.458
-1.322 2.329 4.458
0.000 0.000 5.829
-2.166 -1.250 10.885
2.678 -0.020 4.458
1.322 2.329 4.458
2.282 -1.318 6.854
0.000 2.635 6.854
2.284 1.319 6.658
2.166 -1.250 10.885
0.000 2.501 10.885
```

## Properties
E_form   -0.186 eV/atom

---

(4)
Here is crystalline Ho2NpCrN5 at its relaxed geometry from the Alexandria database. Energies are from PBE-GGA.

POSCAR file:
```
Ho2NpCrN5
1.0
1.687 -6.751 0.000
1.687 6.751 0.000
0.000 0.000 10.044
Ho Np Cr N
4 2 2 10
Cartesian
1.687 5.350 5.022
1.687 4.978 1.140
1.687 -4.978 6.161
1.687 -5.350 0.000
1.687 3.905 8.251
1.687 -3.905 3.229
1.687 0.239 2.741
1.687 -0.239 7.762
1.687 6.132 8.553
1.687 2.938 4.677
1.687 2.457 1.902
1.687 1.685 8.152
1.687 0.101 5.948
1.687 -0.101 0.926
1.687 -1.685 3.130
1.687 -2.457 6.924
1.687 -2.938 9.699
1.687 -6.132 3.532
```

## Properties
Raw formation energy   -1.14 eV/atom

---

(5)
Here is crystalline Tl6SnPb3 at its relaxed geometry from the Alexandria database. Energies are from PBE-GGA.

POSCAR file:
```
Tl6SnPb3
1.0
12.776 0.000 0.000
0.000 3.435 0.000
-4.419 0.000 14.142
Tl Sn Pb
12 2 6
Cartesian
0.352 0.859 2.947
-1.398 2.577 11.137
0.510 0.859 8.603
1.777 2.577 5.688
3.558 2.577 2.744
0.320 0.859 13.947
8.037 2.577 0.195
4.799 0.859 11.398
6.579 0.859 8.454
7.847 2.577 5.538
9.754 0.859 3.005
8.004 2.577 11.194
1.858 2.577 11.401
6.499 0.859 2.741
-1.534 2.577 5.702
-2.909 2.577 14.140
3.571 2.577 8.570
4.785 0.859 5.572
11.265 0.859 0.001
9.890 0.859 8.440
```

## Properties
Energy above the lowest structure with this stoichiometry   0 meV/atom
E_form   0.028 eV/atom

---

(6)
Here is crystalline CaOs2W at its relaxed geometry from the Alexandria database. Energies are from PBE-GGA.

POSCAR file:
```
CaOs2W
1.0
3.048 0.000 0.000
0.000 4.513 0.000
0.000 0.000 4.831
Ca Os W
1 2 1
Cartesian
0.000 0.000 0.000
0.000 2.256 2.415
1.524 2.256 0.000
1.524 0.000 2.415
```

## Properties
Energy above the lowest structure with this stoichiometry   566 meV/atom
E_form   0.829 eV/atom

---

For the records above, the corresponding electronic total energy values read -6.66; -2.66; -1.65; -9.29; -2.90; -8.52 eV/atom.
For the records above, the corresponding V values read 10.2; 24.8; 16.5; 12.7; 31.0; 16.6 Å³ per atom.
For the records above, the corresponding total magnetization values read 0.00; 0.00; 0.00; 8.05; 0.00; 0.00 μB per cell.